ScPbCl2 | PBE-GGA | optimized geometry

Total energy, eV/f.u.: -16.11
Magnetization, μB per cell: 0.0
Polymorph energy (0 for the lowest one), eV per atom: 0.681

a = 5.512 Å, b = 5.512 Å, c = 3.331 Å
α = 90.00°, β = 90.00°, γ = 108.80°
Fractional coordinates of all 4 atoms:
Cl 0.500 0.500 0.000
Sc 0.000 0.500 0.500
Cl 0.000 0.000 0.000
Pb 0.500 0.000 0.500

***

ScPbCl2 | PBE-GGA | optimized geometry

Total energy, eV/f.u.: -16.99
Magnetization, μB per cell: 0.3
Polymorph energy (0 for the lowest one), eV per atom: 0.461

a = 5.851 Å, b = 5.851 Å, c = 3.574 Å
α = 71.74°, β = 71.74°, γ = 109.92°
Last column: magnetic moment on the atom in μB.
Fractional coordinates of all 4 atoms:
Sc 0.000 0.500 0.500  0.22
Pb 0.500 0.000 0.500  0.00
Cl 0.000 0.000 0.000  0.00
Cl 0.500 0.500 0.000  0.00

***

ScPb2Cl | PBE-GGA | optimized geometry

Total energy, eV/f.u.: -16.74
Magnetization, μB per cell: 0.0
Polymorph energy (0 for the lowest one), eV per atom: 0.388

a = 6.145 Å, b = 6.145 Å, c = 6.145 Å
α = 137.84°, β = 137.84°, γ = 61.15°
Fractional coordinates of all 4 atoms:
Pb 0.000 0.000 0.000
Sc 0.250 0.750 0.500
Cl 0.750 0.250 0.500
Pb 0.500 0.500 0.000

***

> total energy of number 1 (ScPbCl2)?

-16.11 eV/f.u.